First-principles (PBE) data for a geometry-optimized HPt2W structure, as listed in the Alexandria database.

Cell and atoms, written as CIF:
```
data_HPt2W
_chemical_formula_sum 'H4 Pt8 W4'
_space_group_name_H-M_alt 'I -4 2 d'
_space_group_IT_number 122
_space_group_name_Hall 'I -4 2bw'
_cell_length_a 6.344
_cell_length_b 6.344
_cell_length_c 5.153
_cell_angle_alpha 90.00
_cell_angle_beta 90.00
_cell_angle_gamma 90.00
loop_
_atom_site_label
_atom_site_type_symbol
_atom_site_fract_x
_atom_site_fract_y
_atom_site_fract_z
H1 H 0.000 0.000 0.000
Pt1 Pt 0.150 0.250 0.125
W1 W 0.000 0.000 0.500
```

Properties
Uncorrected energy (eV/atom): -6.853
Fermi-level density of states (states/eV per cell): 12.89